Computed, not measured: a relaxed structure of K2AgPtF at the PBEsol level of DFT.

Unit cell a=5.9809 b=5.9809 c=4.0261 alpha=90.00 beta=90.00 gamma=90.00
With the nearest neighbours (Å) after each atom.
Atoms (fractional coordinates):
K1 0.0000 0.5000 0.0000  2 Ag 2.99
K2 0.5000 0.0000 0.0000  2 Ag 2.99
Ag1 0.0000 0.0000 0.0000  2 F 2.01
Pt1 0.5000 0.5000 0.5000  8 K 3.60, 2 Pt 4.03
F1 0.0000 0.0000 0.5000  2 Ag 2.01

Summary:
Total magnetization = 0.00 μB per formula unit
Raw formation energy = -0.007 eV per atom
Theoretical density = 4.61 g/cm³


Computed, not measured: a relaxed structure of Ni19Ge12 at the PBEsol level of DFT.

Unit cell a=6.6317 b=6.6317 c=9.9064 alpha=90.15 beta=90.15 gamma=59.94
With the nearest neighbours (Å) after each atom.
Atoms (fractional coordinates):
Ni1 0.0000 0.0000 0.0000  5 Ge 2.33-2.47, 4 Ni 2.53-2.54
Ni2 0.0010 0.3487 0.1237  4 Ge 2.34-2.61, 5 Ni 2.45-2.62
Ni3 0.0045 0.6633 0.7520  5 Ge 2.32-2.50, 4 Ni 2.53-2.60
Ni4 0.0050 0.3162 0.6256  4 Ge 2.38-2.47, 6 Ni 2.49-2.62
Ni5 0.0173 0.3241 0.8768  5 Ge 2.39-2.66, 5 Ni 2.45-2.58
Ni6 0.3252 0.6671 0.3741  4 Ge 2.39-2.44, 6 Ni 2.49-2.61
Ni7 0.3263 0.6548 0.1230  5 Ge 2.39-2.67, 5 Ni 2.45-2.60
Ni8 0.3317 0.3297 0.5003  5 Ge 2.32-2.49, 4 Ni 2.54-2.55
Ni9 0.3329 0.6748 0.6259  4 Ge 2.39-2.44, 6 Ni 2.49-2.61
Ni10 0.3367 0.9955 0.2480  5 Ge 2.32-2.50, 4 Ni 2.53-2.60
Ni11 0.3452 0.6737 0.8770  5 Ge 2.39-2.67, 5 Ni 2.45-2.60
Ni12 0.6513 0.9990 0.8763  4 Ge 2.34-2.61, 5 Ni 2.45-2.62
Ni13 0.6679 0.3307 0.2444  5 Ge 2.33-2.54, 6 Ni 2.51-2.59
Ni14 0.6693 0.3321 0.7556  5 Ge 2.33-2.54, 6 Ni 2.51-2.59
Ni15 0.6703 0.6683 0.4997  5 Ge 2.32-2.49, 4 Ni 2.54-2.55
Ni16 0.6743 0.0015 0.6259  5 Ge 2.43-2.68, 6 Ni 2.49-2.55
Ni17 0.6759 0.9827 0.1232  5 Ge 2.39-2.66, 5 Ni 2.45-2.58
Ni18 0.6838 0.9950 0.3744  4 Ge 2.38-2.47, 6 Ni 2.49-2.62
Ni19 0.9985 0.3257 0.3741  5 Ge 2.43-2.68, 6 Ni 2.49-2.55
Ge1 0.0000 0.6480 0.9981  7 Ni 2.33-2.61
Ge2 0.0031 0.9645 0.2487  7 Ni 2.32-2.47
Ge3 0.0037 0.6985 0.5010  7 Ni 2.32-2.50
Ge4 0.0355 0.9969 0.7513  7 Ni 2.32-2.47
Ge5 0.3015 0.9963 0.4990  7 Ni 2.32-2.50
Ge6 0.3027 0.3611 0.2497  7 Ni 2.32-2.49
Ge7 0.3365 0.2979 0.7504  7 Ni 2.32-2.49
Ge8 0.3520 0.0000 0.0019  7 Ni 2.33-2.61
Ge9 0.6389 0.6973 0.7503  7 Ni 2.32-2.49
Ge10 0.6485 0.3515 0.0000  5 Ni 2.33-2.43
Ge11 0.6948 0.3052 0.5000  8 Ni 2.33-2.54
Ge12 0.7021 0.6635 0.2496  7 Ni 2.32-2.49

Summary:
Total magnetization = 0.00 μB per formula unit
Formation energy = -0.37 eV per atom
Theoretical density = 8.75 g/cm³


Computed, not measured: a relaxed structure of ZnRhPb3 at the PBEsol level of DFT.

Unit cell a=5.1065 b=5.1065 c=5.1065 alpha=90.00 beta=90.00 gamma=90.00
With the nearest neighbours (Å) after each atom.
Atoms (fractional coordinates):
Zn1 0.0000 0.0000 0.0000  6 Pb 2.55
Rh1 0.5000 0.5000 0.5000  12 Pb 3.61
Pb1 0.0000 0.0000 0.5000  2 Zn 2.55
Pb2 0.0000 0.5000 0.0000  2 Zn 2.55
Pb3 0.5000 0.0000 0.0000  2 Zn 2.55

Summary:
Total magnetization = 0.00 μB per formula unit
Formation energy = 0.90 eV per atom
Theoretical density = 9.85 g/cm³


Computed, not measured: a relaxed structure of TlTePRu2 at the PBEsol level of DFT.

Unit cell a=4.4318 b=4.4318 c=5.2112 alpha=90.00 beta=90.00 gamma=90.00
With the nearest neighbours (Å) after each atom.
Atoms (fractional coordinates):
Tl1 0.0000 0.0000 0.0000  4 Te 3.13, 8 Ru 3.42
Te1 0.5000 0.5000 0.0000  2 P 2.61
P1 0.5000 0.5000 0.5000  4 Ru 2.22
Ru1 0.0000 0.5000 0.5000  2 P 2.22
Ru2 0.5000 0.0000 0.5000  2 P 2.22

Summary:
Total magnetization = 1.35 μB per formula unit
Raw formation energy = 0.764 eV per atom
Theoretical density = 9.17 g/cm³


Computed, not measured: a relaxed structure of Sc3V2Si3 at the PBEsol level of DFT.

Unit cell a=7.5713 b=7.5713 c=5.1109 alpha=90.00 beta=90.00 gamma=120.00
With the nearest neighbours (Å) after each atom.
Atoms (fractional coordinates):
Sc1 0.0000 0.2428 0.2500  5 Si 2.64-2.84
Sc2 0.0000 0.7572 0.7500  5 Si 2.64-2.84
Sc3 0.2428 0.0000 0.2500  5 Si 2.64-2.84
Sc4 0.2428 0.2428 0.7500  5 Si 2.64-2.84
Sc5 0.7572 0.0000 0.7500  5 Si 2.64-2.84
Sc6 0.7572 0.7572 0.2500  5 Si 2.64-2.84
V1 0.3333 0.6667 0.0000  2 V 2.56, 6 Si 2.63
V2 0.3333 0.6667 0.5000  2 V 2.56, 6 Si 2.63
V3 0.6667 0.3333 0.0000  2 V 2.56, 6 Si 2.63
V4 0.6667 0.3333 0.5000  2 V 2.56, 6 Si 2.63
Si1 0.0000 0.4079 0.7500  4 V 2.63, 5 Sc 2.64-2.84, 2 Si 2.91
Si2 0.0000 0.5921 0.2500  4 V 2.63, 5 Sc 2.64-2.84, 2 Si 2.91
Si3 0.4079 0.0000 0.7500  4 V 2.63, 5 Sc 2.64-2.84, 2 Si 2.91
Si4 0.4079 0.4079 0.2500  4 V 2.63, 5 Sc 2.64-2.84, 2 Si 2.91
Si5 0.5921 0.0000 0.2500  4 V 2.63, 5 Sc 2.64-2.84, 2 Si 2.91
Si6 0.5921 0.5921 0.7500  4 V 2.63, 5 Sc 2.64-2.84, 2 Si 2.91

Summary:
Total magnetization = 0.00 μB per formula unit
Raw formation energy = -0.735 eV per atom
Theoretical density = 4.20 g/cm³


Computed, not measured: a relaxed structure of TmTlSe2 at the PBEsol level of DFT.

Unit cell a=7.9712 b=7.9712 c=7.9712 alpha=29.42 beta=29.42 gamma=29.42
With the nearest neighbours (Å) after each atom.
Atoms (fractional coordinates):
Tm1 0.0000 0.0000 0.0000  6 Se 2.81
Tl1 0.5000 0.5000 0.5000  6 Se 3.24
Se1 0.2648 0.2648 0.2648  3 Tm 2.81
Se2 0.7352 0.7352 0.7352  3 Tm 2.81

Summary:
Total magnetization = 0.00 μB per formula unit
Raw formation energy = -1.347 eV per atom
Theoretical density = 8.16 g/cm³


Computed, not measured: a relaxed structure of BaHgOs at the PBEsol level of DFT.

Unit cell a=5.1611 b=5.1611 c=5.1611 alpha=60.00 beta=60.00 gamma=60.00
With the nearest neighbours (Å) after each atom.
Atoms (fractional coordinates):
Ba1 0.0000 0.0000 0.0000  4 Hg 3.16, 4 Os 3.16
Hg1 0.7500 0.7500 0.7500  4 Ba 3.16
Os1 0.2500 0.2500 0.2500  4 Ba 3.16

Summary:
Total magnetization = 2.04 μB per formula unit
Formation energy = 1.62 eV per atom
Theoretical density = 9.02 g/cm³


Computed, not measured: a relaxed structure of Si2AuF at the PBEsol level of DFT.

Unit cell a=7.9470 b=7.9470 c=7.9470 alpha=149.61 beta=149.61 gamma=43.51
With the nearest neighbours (Å) after each atom.
Atoms (fractional coordinates):
Si1 0.0427 0.6250 0.9177  2 F 2.23
Si2 0.3750 0.2927 0.4177  2 F 2.23
Si3 0.7073 0.1250 0.0823  2 F 2.23
Si4 0.8750 0.9573 0.5823  2 F 2.23
Au1 0.2500 0.7500 0.5000  4 Si 2.53
Au2 0.5000 0.5000 0.0000  4 Si 2.53
F1 0.0000 0.0000 0.0000  4 Si 2.23
F2 0.7500 0.2500 0.5000  4 Si 2.23

Summary:
Total magnetization = 0.00 μB per formula unit
Raw formation energy = -0.277 eV per atom
Theoretical density = 7.06 g/cm³